No. 1
PuHgPb2: relaxed, PBE-GGA.

Lattice parameters (Å, degrees): 5.4273 5.4273 5.4273 60.00 60.00 60.00
Closest atoms and distances in Å follow each position.
Fractional positions:
Pu 0.5000 0.5000 0.5000  8 Pb 3.32
Pb 0.2500 0.2500 0.2500  4 Pu 3.32, 4 Hg 3.32
Pb 0.7500 0.7500 0.7500  4 Hg 3.32, 4 Pu 3.32
Hg 0.0000 0.0000 0.0000  8 Pb 3.32

Results
Formation enthalpy at 0 K (meV per atom): 38



No. 2
RbCrP: relaxed, PBE-GGA.

Lattice parameters (Å, degrees): 7.1795 7.4888 8.4969 90.00 125.76 90.00
Closest atoms and distances in Å follow each position.
Fractional positions:
Rb 0.1491 0.0000 0.3266  4 P 3.49, 4 Cr 3.89-3.91
Rb 0.1491 0.5000 0.8266  4 P 3.49, 4 Cr 3.89-3.91
Rb 0.8509 0.0000 0.6734  4 P 3.49, 4 Cr 3.89-3.91
Rb 0.8509 0.5000 0.1734  4 P 3.49, 4 Cr 3.89-3.91
P 0.5000 0.2500 0.2500  2 Cr 2.22
P 0.5000 0.2500 0.7500  2 Cr 2.22
P 0.5000 0.7500 0.7500  2 Cr 2.22
P 0.5000 0.7500 0.2500  2 Cr 2.22
Cr 0.4993 0.0000 0.1102  1 Cr 1.88
Cr 0.5007 0.5000 0.3898  1 Cr 1.88
Cr 0.4993 0.5000 0.6102  1 Cr 1.88
Cr 0.5007 0.0000 0.8898  1 Cr 1.88

Results
Formation enthalpy at 0 K (meV per atom): 214



No. 3
AgSn2Sb2: relaxed, PBE-GGA.

Lattice parameters (Å, degrees): 4.2574 4.2574 8.5910 75.65 75.65 90.00
Closest atoms and distances in Å follow each position.
Fractional positions:
Sb 0.7500 0.2500 0.5000  4 Sb 3.01, 4 Sn 3.31
Sb 0.2500 0.7500 0.5000  4 Sb 3.01, 4 Sn 3.31
Sn 0.5928 0.5928 0.8144  1 Sn 2.99, 4 Sb 3.31
Sn 0.4072 0.4072 0.1856  1 Sn 2.99, 4 Sb 3.31
Ag 0.0000 0.0000 0.0000  8 Sn 3.36

Results
Uncorrected formation energy (eV per atom): 0.288



No. 4
Rb2RuRhBr6: relaxed, PBE-GGA.

Lattice parameters (Å, degrees): 7.4249 7.4249 7.4174 59.97 59.97 90.00
Closest atoms and distances in Å follow each position.
Fractional positions:
Br 0.7494 0.7494 0.5012  1 Ru 2.61, 1 Rh 2.63
Br 0.2505 0.2505 0.0000  1 Ru 2.62, 1 Rh 2.63
Br 0.2506 0.2506 0.4988  1 Ru 2.61, 1 Rh 2.63
Br 0.2505 0.7495 0.0000  1 Ru 2.62, 1 Rh 2.63
Br 0.7495 0.2505 0.0000  1 Ru 2.62, 1 Rh 2.63
Br 0.7495 0.7495 0.0000  1 Ru 2.62, 1 Rh 2.63
Rb 0.2500 0.7500 0.5000  12 Br 3.71
Rb 0.7500 0.2500 0.5000  12 Br 3.71
Rh 0.0000 0.0000 0.0000  6 Br 2.63
Ru 0.5000 0.5000 0.0000  6 Br 2.61-2.62

Results
Uncorrected formation energy (eV per atom): -0.669



No. 5
TlRe2Se: relaxed, PBE-GGA.

Lattice parameters (Å, degrees): 2.9428 2.9428 9.1593 90.00 90.00 90.00
Closest atoms and distances in Å follow each position.
Fractional positions:
Tl 0.5000 0.5000 0.7952  4 Tl 2.94, 4 Re 3.13
Se 0.0000 0.0000 0.4174  4 Re 2.66, 4 Se 2.94
Re 0.0000 0.0000 0.0504  8 Re 2.69-2.94
Re 0.5000 0.5000 0.2369  4 Se 2.66, 8 Re 2.69-2.94

Results
Uncorrected formation energy (eV per atom): 0.381



No. 6
Mg2Al: relaxed, PBE-GGA.

Lattice parameters (Å, degrees): 4.8556 5.6267 9.0276 90.00 90.00 90.00
Closest atoms and distances in Å follow each position.
Fractional positions:
Mg 0.7500 0.8338 0.4893  4 Al 2.90-3.05, 6 Mg 3.05-3.08
Mg 0.2500 0.6288 0.3293  5 Al 3.01-3.08, 6 Mg 3.05-3.16
Mg 0.2500 0.1662 0.5107  4 Al 2.90-3.05, 6 Mg 3.05-3.08
Mg 0.2500 0.1288 0.1707  5 Al 3.01-3.08, 6 Mg 3.05-3.16
Mg 0.7500 0.8712 0.8293  5 Al 3.01-3.08, 6 Mg 3.05-3.16
Mg 0.7500 0.3338 0.0107  4 Al 2.90-3.05, 6 Mg 3.05-3.08
Mg 0.2500 0.6662 0.9893  4 Al 2.90-3.05, 6 Mg 3.05-3.08
Mg 0.7500 0.3712 0.6707  5 Al 3.01-3.08, 6 Mg 3.05-3.16
Al 0.7500 0.8132 0.1687  9 Mg 2.90-3.08, 2 Al 3.17
Al 0.7500 0.3132 0.3313  9 Mg 2.90-3.08, 2 Al 3.17
Al 0.2500 0.1868 0.8313  9 Mg 2.90-3.08, 2 Al 3.17
Al 0.2500 0.6868 0.6687  9 Mg 2.90-3.08, 2 Al 3.17

Results
Formation enthalpy at 0 K (meV per atom): 14



No. 7
KLaOs: relaxed, PBE-GGA.

Lattice parameters (Å, degrees): 7.3164 7.3169 3.7906 74.98 74.98 30.03
Closest atoms and distances in Å follow each position.
Fractional positions:
K 0.0211 0.0209 0.9789  1 La 3.42, 4 Os 3.68, 4 K 3.79
La 0.2725 0.2726 0.7275  4 Os 2.83
Os 0.7064 0.7065 0.2936  4 La 2.83

Results
Formation enthalpy at 0 K (meV per atom): 585



No. 8
AcCdO2: relaxed, PBE-GGA.

Lattice parameters (Å, degrees): 3.2762 3.2762 6.8700 90.00 90.00 90.00
Closest atoms and distances in Å follow each position.
Fractional positions:
O 0.0000 0.0000 0.6878  1 O 2.58, 4 Ac 2.65
O 0.0000 0.0000 0.3122  1 O 2.58, 4 Ac 2.65
Cd 0.5000 0.5000 0.0000  8 O 3.16, 4 Cd 3.28, 2 Ac 3.44
Ac 0.5000 0.5000 0.5000  8 O 2.65

Results
Uncorrected formation energy (eV per atom): -1.546



No. 9
KCo2Si: relaxed, PBE-GGA.

Lattice parameters (Å, degrees): 4.7764 4.7764 8.4629 73.61 73.61 90.00
Closest atoms and distances in Å follow each position.
Fractional positions:
Co 0.3750 0.6246 0.7500  2 Si 2.28, 2 Co 2.39
Co 0.8750 0.6254 0.7500  2 Si 2.28, 2 Co 2.39
Co 0.3754 0.1250 0.2500  2 Si 2.28, 2 Co 2.39
Co 0.3746 0.6250 0.2500  2 Si 2.28, 2 Co 2.39
K 0.7500 0.2500 0.5000  8 Co 3.30, 4 Si 3.38
K 0.0000 0.0000 0.0000  8 Co 3.30, 4 Si 3.38
Si 0.2500 0.7500 0.5000  4 Co 2.28
Si 0.5000 0.5000 0.0000  4 Co 2.28

Results
Uncorrected formation energy (eV per atom): 0.549



No. 10
La8Er5Tm: relaxed, PBE-GGA.

Lattice parameters (Å, degrees): 8.6478 8.6478 8.6478 110.90 110.90 106.64
Closest atoms and distances in Å follow each position.
Fractional positions:
Tm 0.2500 0.7500 0.5000  4 La 3.25
Er 0.2737 0.1787 0.3058  8 La 3.38-3.73, 2 Er 3.49
Er 0.5000 0.5000 0.0000  8 La 3.24-3.45
Er 0.0321 0.7263 0.9050  8 La 3.38-3.73, 2 Er 3.49
Er 0.8730 0.9679 0.6942  8 La 3.38-3.73, 2 Er 3.49
Er 0.8213 0.1270 0.0950  8 La 3.38-3.73, 2 Er 3.49
La 0.1625 0.4344 0.0911  4 Er 3.24-3.54, 1 Tm 3.25
La 0.5229 0.9215 0.2654  5 Er 3.45-3.73, 4 La 3.54-3.78
La 0.3433 0.0714 0.9089  4 Er 3.24-3.54, 1 Tm 3.25
La 0.7425 0.4771 0.3986  5 Er 3.45-3.73, 4 La 3.54-3.78
La 0.9286 0.8375 0.2719  4 Er 3.24-3.54, 1 Tm 3.25
La 0.0785 0.3440 0.6014  5 Er 3.45-3.73, 4 La 3.54-3.78
La 0.6560 0.2575 0.7346  5 Er 3.45-3.73, 4 La 3.54-3.78
La 0.5656 0.6567 0.7281  4 Er 3.24-3.54, 1 Tm 3.25

Results
Formation enthalpy at 0 K (meV per atom): 254



No. 11
ZnReNi2N: relaxed, PBE-GGA.

Lattice parameters (Å, degrees): 3.8295 3.9633 3.8295 90.00 90.00 90.00
Closest atoms and distances in Å follow each position.
Fractional positions:
N 0.0000 0.0000 0.0000  4 Ni 1.91, 2 Re 1.98
Zn 0.5000 0.5000 0.5000  4 Re 2.71, 8 Ni 2.76
Ni 0.0000 0.0000 0.5000  2 N 1.91
Ni 0.5000 0.0000 0.0000  2 N 1.91
Re 0.0000 0.5000 0.0000  2 N 1.98

Results
Uncorrected formation energy (eV per atom): 0.012



No. 12
BeTl3: relaxed, PBE-GGA.

Lattice parameters (Å, degrees): 6.8229 6.8229 6.8229 152.42 135.13 53.48
Closest atoms and distances in Å follow each position.
Fractional positions:
Tl 0.8112 0.3112 0.5000  2 Be 2.82
Tl 0.1888 0.6888 0.5000  2 Be 2.82
Tl 0.5000 0.5000 0.0000  4 Be 3.07, 2 Tl 3.25
Be 0.0000 0.0000 0.0000  8 Tl 2.82-3.07

Results
Formation enthalpy at 0 K (meV per atom): 432



No. 13
CaYGeRh: relaxed, PBE-GGA.

Lattice parameters (Å, degrees): 4.9621 4.9621 4.9621 60.00 60.00 60.00
Closest atoms and distances in Å follow each position.
Fractional positions:
Y 0.0000 0.0000 0.0000  4 Ge 3.04, 4 Rh 3.04
Rh 0.7500 0.7500 0.7500  4 Ca 3.04, 4 Y 3.04
Ca 0.5000 0.5000 0.5000  4 Rh 3.04, 4 Ge 3.04
Ge 0.2500 0.2500 0.2500  4 Ca 3.04, 4 Y 3.04

Results
Formation enthalpy at 0 K (meV per atom): -583



No. 14
K3PuCl7: relaxed, PBE-GGA.

Lattice parameters (Å, degrees): 7.4121 7.4121 8.1625 64.01 64.01 85.16
Closest atoms and distances in Å follow each position.
Fractional positions:
Cl 0.9731 0.3160 0.7372  1 Pu 2.65
Cl 0.8125 0.8125 0.8679  1 Pu 2.65
Cl 0.6365 0.1244 0.2124  1 Pu 2.72
Cl 0.3160 0.9731 0.7372  1 Pu 2.65
Cl 0.1244 0.6365 0.2124  1 Pu 2.72
Cl 0.1433 0.1433 0.1448  1 Pu 2.64
Cl 0.6409 0.6409 0.4294  3 K 3.01-3.29, 1 Pu 3.04, 2 Cl 3.23
Pu 0.9615 0.9615 0.0313  6 Cl 2.64-2.72
K 0.5093 0.5093 0.9110  5 Cl 3.11-3.29
K 0.7755 0.2321 0.4833  6 Cl 3.01-3.32
K 0.2321 0.7755 0.4833  6 Cl 3.01-3.32

Results
Uncorrected formation energy (eV per atom): -1.814



No. 15
AcUNiSe4: relaxed, PBE-GGA.

Lattice parameters (Å, degrees): 6.8286 6.1075 8.4853 90.00 107.36 90.00
Closest atoms and distances in Å follow each position.
Fractional positions:
U 0.2550 0.2500 0.5570  6 Se 2.87-2.99
U 0.7450 0.7500 0.4430  6 Se 2.87-2.99
Ac 0.7452 0.7500 0.9353  8 Se 3.04-3.26
Ac 0.2548 0.2500 0.0647  8 Se 3.04-3.26
Se 0.0188 0.9905 0.7329  1 Ni 2.33
Se 0.4271 0.7500 0.1265  1 Ni 2.36
Se 0.5729 0.2500 0.8735  1 Ni 2.36
Se 0.5749 0.2500 0.4015  1 Ni 2.31
Se 0.9812 0.0095 0.2671  1 Ni 2.33
Se 0.4251 0.7500 0.5985  1 Ni 2.31
Se 0.9812 0.4905 0.2671  1 Ni 2.33
Se 0.0188 0.5095 0.7329  1 Ni 2.33
Ni 0.2420 0.7500 0.3217  4 Se 2.31-2.36
Ni 0.7580 0.2500 0.6783  4 Se 2.31-2.36

Results
Uncorrected formation energy (eV per atom): -1.205



No. 16
Tm6Cu2Au: relaxed, PBE-GGA.

Lattice parameters (Å, degrees): 8.2655 8.2655 8.2655 107.75 110.03 110.65
Closest atoms and distances in Å follow each position.
Fractional positions:
Tm 0.9057 0.7259 0.1798  3 Cu 2.97-3.07, 1 Au 3.09
Tm 0.2980 0.9720 0.6740  3 Cu 2.75-2.89
Tm 0.2980 0.6239 0.3260  3 Cu 2.75-2.89
Tm 0.1907 0.7541 0.9448  2 Cu 2.86-3.20, 2 Au 3.00-3.07
Tm 0.8093 0.2459 0.0552  2 Cu 2.86-3.20, 2 Au 3.00-3.07
Tm 0.7020 0.0280 0.3260  3 Cu 2.75-2.89
Tm 0.7020 0.3761 0.6740  3 Cu 2.75-2.89
Tm 0.4539 0.2741 0.1798  3 Cu 2.97-3.07, 1 Au 3.09
Tm 0.0943 0.2741 0.8202  3 Cu 2.97-3.07, 1 Au 3.09
Tm 0.1907 0.2459 0.4365  2 Cu 2.86-3.20, 2 Au 3.00-3.07
Tm 0.8093 0.7541 0.5635  2 Cu 2.86-3.20, 2 Au 3.00-3.07
Tm 0.5461 0.7259 0.8202  3 Cu 2.97-3.07, 1 Au 3.09
Cu 0.5000 0.3777 0.8777  1 Cu 2.38
Cu 0.5000 0.6223 0.1223  1 Cu 2.38
Cu 0.6441 0.0000 0.6441  1 Cu 2.73, 6 Tm 2.86-2.89
Cu 0.3559 0.0000 0.3559  1 Cu 2.73, 6 Tm 2.86-2.89
Au 0.0000 0.5000 0.5000  8 Tm 3.07-3.28
Au 0.0000 0.0000 0.0000  8 Tm 3.00-3.09

Results
Formation enthalpy at 0 K (meV per atom): -319



No. 17
CuRhAu2: relaxed, PBE-GGA.

Lattice parameters (Å, degrees): 9.1118 9.1118 9.1118 18.01 18.01 18.01
Closest atoms and distances in Å follow each position.
Fractional positions:
Au 0.5034 0.5034 0.5034  3 Cu 2.71, 6 Au 2.85, 3 Rh 2.85
Au 0.9966 0.9966 0.9966  3 Cu 2.71, 6 Au 2.85, 3 Rh 2.85
Cu 0.2500 0.2500 0.2500  6 Au 2.71, 6 Cu 2.85
Rh 0.7500 0.7500 0.7500  6 Rh 2.85, 6 Au 2.85

Results
Formation enthalpy at 0 K (meV per atom): 125



No. 18
Rb2BI: relaxed, PBE-GGA.

Lattice parameters (Å, degrees): 6.0996 6.0996 6.0996 60.00 60.00 60.00
Closest atoms and distances in Å follow each position.
Fractional positions:
Rb 0.7500 0.7500 0.7500  4 B 3.74, 4 I 3.74
Rb 0.2500 0.2500 0.2500  4 I 3.74, 4 B 3.74
I 0.5000 0.5000 0.5000  8 Rb 3.74
B 0.0000 0.0000 0.0000  8 Rb 3.74

Results
Uncorrected formation energy (eV per atom): 0.410



No. 19
Dy2Y4S9: relaxed, PBE-GGA.

Lattice parameters (Å, degrees): 6.9168 6.9164 18.5430 90.00 90.00 60.00
Closest atoms and distances in Å follow each position.
Fractional positions:
Dy 0.0002 0.0000 0.6496  6 S 2.72-2.79
Dy 0.9998 0.0000 0.1496  6 S 2.72-2.79
Dy 0.9998 0.0000 0.3504  6 S 2.72-2.79
Dy 0.0002 0.0000 0.8504  6 S 2.72-2.79
S 0.7000 0.0000 0.7500  2 Y 2.72, 2 Dy 2.79
S 0.3000 0.0000 0.2500  2 Y 2.72, 2 Dy 2.79
S 0.3652 0.6671 0.4166  1 Dy 2.72, 3 Y 2.72-2.79
S 0.6344 0.0325 0.0834  1 Dy 2.72, 3 Y 2.72-2.79
S 0.3005 0.6998 0.7500  2 Y 2.72, 2 Dy 2.79
S 0.9675 0.3654 0.4166  1 Dy 2.72, 3 Y 2.72-2.79
S 0.6668 0.9676 0.4166  1 Dy 2.72, 3 Y 2.72-2.79
S 0.6348 0.3329 0.5834  1 Dy 2.72, 3 Y 2.72-2.79
S 0.9997 0.6998 0.2500  2 Y 2.72, 2 Dy 2.79
S 0.3656 0.9675 0.9166  1 Dy 2.72, 3 Y 2.72-2.79
S 0.0324 0.3328 0.0834  1 Dy 2.72, 3 Y 2.72-2.79
S 0.3329 0.6346 0.0834  1 Dy 2.72, 3 Y 2.72-2.79
S 0.0325 0.6346 0.5834  1 Dy 2.72, 3 Y 2.72-2.79
S 0.6671 0.3654 0.9166  1 Dy 2.72, 3 Y 2.72-2.79
S 0.3332 0.0324 0.5834  1 Dy 2.72, 3 Y 2.72-2.79
S 0.0003 0.3002 0.7500  2 Y 2.72, 2 Dy 2.79
S 0.9676 0.6672 0.9166  1 Dy 2.72, 3 Y 2.72-2.79
S 0.6995 0.3002 0.2500  2 Y 2.72, 2 Dy 2.79
Y 0.6664 0.6666 0.3161  6 S 2.72-2.79
Y 0.6669 0.6666 0.8162  6 S 2.72-2.79
Y 0.3333 0.3334 0.4830  6 S 2.72-2.79
Y 0.3336 0.3334 0.6839  6 S 2.72-2.79
Y 0.3331 0.3334 0.1838  6 S 2.72-2.79
Y 0.6667 0.6666 0.5170  6 S 2.72-2.79
Y 0.6666 0.6666 0.0170  6 S 2.72-2.79
Y 0.3334 0.3334 0.9830  6 S 2.72-2.79

Results
Uncorrected formation energy (eV per atom): -2.065



No. 20
NdSBr: relaxed, PBE-GGA.

Lattice parameters (Å, degrees): 4.9179 4.9179 4.9179 60.00 60.00 60.00
Closest atoms and distances in Å follow each position.
Fractional positions:
S 0.5000 0.5000 0.5000  4 Nd 3.01
Br 0.0000 0.0000 0.0000  4 Nd 3.01
Nd 0.2500 0.2500 0.2500  4 S 3.01, 4 Br 3.01

Results
Uncorrected formation energy (eV per atom): -1.807